(1)
! GGA-PBE CeHoIr, optimized geometry; values from VASP
! E_tot (eV/atom): -6.962
! Excess energy over the best structure of this formula in the dataset (meV per atom): 47.4
! Total moment (μB/f.u.): 1.08
! Formation energy from the elements (eV per atom): -0.50
! D(E_F) (states/eV per cell): 5.97
&SYSTEM
  ibrav = 0, nat = 3, ntyp = 3
/
ATOMIC_SPECIES
Ir 192.22 Ir.upf
Ho 164.93 Ho.upf
Ce 140.12 Ce.upf
ATOMIC_POSITIONS angstrom
Ir 0.0097 0.0000 0.0000
Ho 4.6176 2.0362 1.1756
Ce 1.4722 0.0000 2.3512
CELL_PARAMETERS angstrom
6.0995 0.0000 0.0000
0.0000 4.0723 0.0000
0.0000 -2.0362 3.5267

(2)
! GGA-PBE CeHo2Ir, optimized geometry; values from VASP
! E_tot (eV/atom): -6.088
! Excess energy over the best structure of this formula in the dataset (meV per atom): 425.9
! Total moment (μB/f.u.): 1.73
! Formation energy from the elements (eV per atom): -0.10
! D(E_F) (states/eV per cell): 8.53
&SYSTEM
  ibrav = 0, nat = 4, ntyp = 3
/
ATOMIC_SPECIES
Ir 192.22 Ir.upf
Ho 164.93 Ho.upf
Ce 140.12 Ce.upf
ATOMIC_POSITIONS angstrom
Ir 3.7123 2.1433 5.2402
Ho 1.8561 1.0716 6.9209
Ho 5.5684 3.2149 3.5594
Ce 0.0000 0.0000 0.0000
CELL_PARAMETERS angstrom
3.7123 0.0000 0.0000
1.8561 3.2149 0.0000
1.8561 1.0716 10.4804

(3)
! GGA-PBE Ce2Ho5Ir4, optimized geometry; values from VASP
! E_tot (eV/atom): -6.938
! Total moment (μB/f.u.): 0.82
! Formation energy from the elements (eV per atom): -0.56
! D(E_F) (states/eV per cell): 12.68
&SYSTEM
  ibrav = 0, nat = 11, ntyp = 3
/
ATOMIC_SPECIES
Ce 140.12 Ce.upf
Ho 164.93 Ho.upf
Ir 192.22 Ir.upf
ATOMIC_POSITIONS angstrom
Ce 0.8146 1.0242 4.4504
Ce 13.8711 5.1108 19.0704
Ho 7.8997 1.4960 11.2042
Ho 6.7860 4.6390 12.3166
Ho 5.8128 2.0368 8.0171
Ho -1.6029 0.2658 1.0946
Ho 8.8729 4.0982 15.5037
Ir 5.3914 2.6694 10.7527
Ir 13.4495 5.9426 21.7573
Ir 9.2943 3.4656 12.7681
Ir 1.2362 0.1923 1.7635
CELL_PARAMETERS angstrom
-3.2057 0.5316 2.1893
4.0072 -1.1006 6.1350
13.8843 6.7040 15.1965

(4)
! GGA-PBE Ce3HoIr2, optimized geometry; values from VASP
! E_tot (eV/atom): -7.227
! Total moment (μB/f.u.): 0.00
! Formation energy from the elements (eV per atom): -0.54
! D(E_F) (states/eV per cell): 21.16
&SYSTEM
  ibrav = 0, nat = 12, ntyp = 3
/
ATOMIC_SPECIES
Ce 140.12 Ce.upf
Ho 164.93 Ho.upf
Ir 192.22 Ir.upf
ATOMIC_POSITIONS angstrom
Ce 0.0000 2.2379 5.1604
Ce 2.0483 5.0189 5.0852
Ce 2.0483 -0.6013 6.3354
Ce 0.0000 5.0599 2.0709
Ce 0.0000 -0.5603 3.3211
Ce 2.0483 2.2207 3.2460
Ho 2.0483 2.7561 8.1376
Ho 0.0000 1.7024 0.2687
Ir 0.0000 4.6997 6.9205
Ir 2.0483 -0.2411 1.4858
Ir 2.0483 3.7359 0.8115
Ir 0.0000 0.7226 7.5948
CELL_PARAMETERS angstrom
4.0967 0.0000 0.0000
-2.0483 8.3030 -0.2326
0.0000 -3.8444 8.6389

no.,ρ (g/cm3)
1,9.43
2,8.79
3,10.71
4,11.10